DFT (meta-GGA SCAN) results for a crystal of CdTe2W relaxed with PBEsol.

Magnetization   0.000 μB/atom

Cell lengths 3.260, 3.260, 9.028 Å; angles 90.00, 90.00, 90.00 degrees
Sites, in units of the cell vectors:
1 Te 0.000 0.000 0.816
2 Te 0.000 0.000 0.184
3 W 0.500 0.500 0.000
4 Cd 0.500 0.500 0.500


DFT (meta-GGA SCAN) results for a crystal of CdTeW relaxed with PBEsol.

Magnetization   0.000 μB/atom

Cell lengths 4.543, 4.543, 4.543 Å; angles 60.00, 60.00, 60.00 degrees
Sites, in units of the cell vectors:
1 Te 0.500 0.500 0.500
2 W 0.750 0.750 0.750
3 Cd 0.000 0.000 0.000


DFT (meta-GGA SCAN) results for a crystal of CdTe2W relaxed with PBEsol.

Magnetization   0.000 μB/atom

Cell lengths 3.385, 3.401, 9.925 Å; angles 95.36, 90.00, 119.84 degrees
Sites, in units of the cell vectors:
1 Te 0.702 0.404 0.692
2 Te 0.298 0.596 0.308
3 W 0.000 0.000 0.500
4 Cd 0.500 0.000 0.000


DFT (meta-GGA SCAN) results for a crystal of CdTe2W relaxed with PBEsol.

Magnetization   0.001 μB/atom

Cell lengths 3.493, 4.667, 5.265 Å; angles 90.00, 90.00, 90.00 degrees
Sites, in units of the cell vectors:
1 Te 0.000 0.000 0.000
2 Te 0.500 0.000 0.500
3 W 0.500 0.500 0.000
4 Cd 0.000 0.500 0.500


Quick rundown of formation energy without anion corrections, same order as above: 0.30, 1.00, 0.24, 1.09 eV per atom